Computed, not measured: crystalline BaVHO2 at its relaxed geometry at the PBE with a Hubbard U level of DFT.

Cell and atoms, written as POSCAR:
```
BaVHO2
1.0
4.0814 0.0000 0.0000
0.0000 4.0814 0.0000
0.0000 0.0000 3.9560
H Ba O V
1 1 2 1
Direct
0.0000 0.0000 0.5000
0.5000 0.5000 0.5000
0.0000 0.5000 0.0000
0.5000 0.0000 0.0000
0.0000 0.0000 0.0000
```

Calculated values
Energy (eV/atom): -6.327
Calculated volume (Å³ per cell): 65.9
DOS(E_F) (states/eV/atom): 0.001
Spin magnetization (μB/cell): 2.000
Symmetry: No. 123

***

Computed, not measured: crystalline Ba2VHO3 at its relaxed geometry at the PBE with a Hubbard U level of DFT.

Cell and atoms, written as POSCAR:
```
Ba2VHO3
1.0
-0.4266 3.0224 -2.5003
-2.8651 1.6204 2.4476
6.4343 1.1114 3.3589
Ba V H O
2 1 1 3
Direct
0.6462 0.6462 0.2923
0.3538 0.3538 0.7077
0.0000 0.0000 0.0000
0.5000 0.0000 0.0000
0.0000 0.5000 0.0000
0.1506 0.1506 0.3012
0.8494 0.8494 0.6988
```

Calculated values
Energy (eV/atom): -6.250
Calculated volume (Å³ per cell): 109.6
Spin magnetization (μB/cell): 2.000
Symmetry: No. 71

***

Computed, not measured: crystalline BaV2HO6 at its relaxed geometry at the PBE with a Hubbard U level of DFT.

Cell and atoms, written as POSCAR:
```
BaV2HO6
1.0
-2.8722 2.1240 4.5732
-1.3043 -5.6714 4.9868
5.0577 2.4751 5.1989
Ba V H O
2 4 2 12
Direct
0.2500 0.8376 0.1624
0.7500 0.1624 0.8376
0.3493 0.7478 0.6216
0.1507 0.3784 0.2522
0.6507 0.2522 0.3784
0.8493 0.6216 0.7478
0.2500 0.3079 0.6921
0.7500 0.6921 0.3079
0.2169 0.9186 0.7850
0.2831 0.2150 0.0814
0.7831 0.0814 0.2150
0.7169 0.7850 0.9186
0.5411 0.7901 0.4014
0.9589 0.5986 0.2099
0.4589 0.2099 0.5986
0.0411 0.4014 0.7901
0.0718 0.7200 0.5685
0.4282 0.4315 0.2800
0.9282 0.2800 0.4315
0.5718 0.5685 0.7200
```

Calculated values
Energy (eV/atom): -6.930
Calculated volume (Å³ per cell): 304.5
DOS(E_F) (states/eV/atom): 0.131
Spin magnetization (μB/cell): 2.000
Symmetry: No. 15